The following is a PBE calculation of an optimized crystal structure of ZrH2Ru, from Alexandria.

Results
* calculated volume: 169 Å³/cell
* total energy: -6.410 eV/atom
* D(E_F): 2.1 states/eV per cell

```
data_ZrH2Ru
_chemical_formula_sum 'Zr4 H8 Ru4'
_cell_length_a 4.242
_cell_length_b 4.242
_cell_length_c 9.375
_cell_angle_alpha 90.00
_cell_angle_beta 90.00
_cell_angle_gamma 90.00
_symmetry_space_group_name_H-M 'I -4 2 d'
_symmetry_Int_Tables_number 122
_symmetry_space_group_name_Hall 'I -4 2bw'
loop_
_atom_site_label
_atom_site_fract_x
_atom_site_fract_y
_atom_site_fract_z
_atom_site_occupancy
Zr1 0.000 0.000 0.000 1
H1 0.191 0.250 0.625 1
Ru1 0.000 0.000 0.500 1
```

---

The following is a PBE calculation of an optimized crystal structure of ZrH3Ru, from Alexandria.

Results
* calculated volume: 44 Å³/cell
* total energy: -5.806 eV/atom
* D(E_F): 4.0 states/eV per cell

```
data_ZrH3Ru
_chemical_formula_sum 'Zr1 H3 Ru1'
_cell_length_a 3.540
_cell_length_b 3.540
_cell_length_c 3.540
_cell_angle_alpha 90.00
_cell_angle_beta 90.00
_cell_angle_gamma 90.00
_symmetry_space_group_name_H-M 'P m -3 m'
_symmetry_Int_Tables_number 221
_symmetry_space_group_name_Hall '-P 4 2 3'
loop_
_atom_site_label
_atom_site_fract_x
_atom_site_fract_y
_atom_site_fract_z
_atom_site_occupancy
Zr1 0.000 0.000 0.000 1
H1 0.000 0.500 0.500 1
Ru1 0.500 0.500 0.500 1
```

---

The following is a PBE calculation of an optimized crystal structure of ZrH2Ru2, from Alexandria.

Results
* calculated volume: 111 Å³/cell
* total energy: -6.836 eV/atom
* D(E_F): 5.6 states/eV per cell

```
data_ZrH2Ru2
_chemical_formula_sum 'Zr2 H4 Ru4'
_cell_length_a 3.271
_cell_length_b 3.271
_cell_length_c 10.387
_cell_angle_alpha 90.00
_cell_angle_beta 90.00
_cell_angle_gamma 90.00
_symmetry_space_group_name_H-M 'I 4/m m m'
_symmetry_Int_Tables_number 139
_symmetry_space_group_name_Hall '-I 4 2'
loop_
_atom_site_label
_atom_site_fract_x
_atom_site_fract_y
_atom_site_fract_z
_atom_site_occupancy
Zr1 0.000 0.000 0.000 1
H1 0.000 0.500 0.250 1
Ru1 0.000 0.000 0.351 1
```

---

Question: The highest total energy belongs to which entry?
Answer: ZrH3Ru

---

Question: The highest total energy belongs to which entry?
Answer: ZrH3Ru

---

Question: Number 3 is which compound?
Answer: ZrH2Ru2